[1]
PBE-GGA CaPb2Br, relaxed; E_form (uncorrected) = -0.197 eV per atom; excess energy over the best structure of this formula in the dataset = 535 meV per atom; SG = R-3m, No. 166
1.0
-10.131 -1.982 1.441
-8.628 -5.373 2.310
-8.790 -2.629 4.947
Pb Br Ca
2 1 1
direct
0.505 0.505 0.505
0.995 0.995 0.995
0.250 0.250 0.250
0.750 0.750 0.750


[2]
PBE-GGA Ti2TeIr2, relaxed; E_form (uncorrected) = -0.557 eV per atom; SG = P4/mbm, No. 127
1.0
-4.099 2.396 6.003
-5.089 -5.579 -1.249
1.541 -1.802 1.771
Ti Ir Te
4 4 2
direct
0.154 0.654 0.500
0.346 0.154 0.500
0.654 0.846 0.500
0.846 0.346 0.500
0.866 0.634 0.000
0.134 0.366 0.000
0.366 0.866 0.000
0.634 0.134 0.000
0.500 0.500 0.000
0.000 0.000 0.000


[3]
PBE-GGA Sr8Ca2Tl, relaxed; formation energy from the elements = -49 meV/atom; excess energy over the best structure of this formula in the dataset = 0 meV per atom; SG = C2/m, No. 12
1.0
-3.962 -4.837 -0.254
5.958 -4.995 2.164
-1.262 4.556 9.996
Tl Ca Sr
1 2 8
direct
0.500 0.000 0.000
0.156 0.177 0.313
0.844 0.823 0.687
0.413 0.596 0.826
0.587 0.404 0.174
0.342 0.088 0.683
0.219 0.647 0.439
0.658 0.912 0.317
0.031 0.767 0.062
0.969 0.233 0.938
0.781 0.353 0.561


[4]
PBE-GGA Tl2Ge2Pd, relaxed; formation energy from the elements = -30 meV/atom; SG = P4/mbm, No. 127
1.0
-1.016 1.931 -6.195
-6.313 -1.743 0.492
-1.214 4.883 1.721
Tl Pd Ge
4 2 4
direct
0.681 0.819 0.500
0.181 0.681 0.500
0.319 0.181 0.500
0.819 0.319 0.500
0.000 0.000 0.000
0.500 0.500 0.000
0.640 0.140 0.000
0.360 0.860 0.000
0.140 0.360 0.000
0.860 0.640 0.000


[5]
PBE-GGA TbInSnI6, relaxed; E_form (uncorrected) = -0.892 eV per atom; SG = P-31c, No. 163
1.0
8.019 0.000 0.000
-4.009 6.944 0.000
0.000 0.000 15.148
In I Tb Sn
2 12 2 2
direct
0.000 0.000 0.500
0.000 0.000 0.000
0.647 0.633 0.133
0.987 0.633 0.367
0.013 0.367 0.633
0.013 0.647 0.867
0.353 0.367 0.867
0.367 0.013 0.133
0.987 0.353 0.133
0.647 0.013 0.367
0.353 0.987 0.633
0.633 0.647 0.633
0.633 0.987 0.867
0.367 0.353 0.367
0.667 0.333 0.250
0.333 0.667 0.750
0.667 0.333 0.750
0.333 0.667 0.250


[6]
PBE-GGA MgAgRh, relaxed; formation energy from the elements = -88 meV/atom; excess energy over the best structure of this formula in the dataset = 126 meV per atom; SG = P3m1, No. 156
1.0
4.457 0.000 0.000
-2.229 3.860 0.000
0.000 0.000 2.869
Mg Rh Ag
1 1 1
direct
0.333 0.667 0.328
0.667 0.333 0.640
0.000 0.000 0.032


[7]
PBE-GGA Ac6HgIr2Rh3, relaxed; formation energy from the elements = -532 meV/atom; SG = C2/m, No. 12
1.0
4.338 0.000 0.000
0.000 8.782 0.726
-2.169 -2.112 9.037
Ac Rh Ir Hg
6 3 2 1
direct
0.318 0.889 0.636
0.334 0.404 0.668
0.666 0.596 0.332
0.010 0.280 0.020
0.682 0.111 0.364
0.990 0.720 0.980
0.500 0.500 0.000
0.849 0.142 0.698
0.151 0.858 0.302
0.831 0.656 0.661
0.169 0.344 0.339
0.500 0.000 0.000


[8]
PBE-GGA K2AgAsC, relaxed; formation energy from the elements = 792 meV/atom; SG = P4/mmm, No. 123
1.0
6.092 0.000 0.000
0.000 3.911 0.000
0.000 0.000 6.092
Ag K C As
1 2 1 1
direct
0.000 0.500 0.000
0.500 0.000 0.000
0.000 0.000 0.500
0.000 0.000 0.000
0.500 0.500 0.500


[9]
PBE-GGA KSrTa4, relaxed; formation energy from the elements = 1078 meV/atom; SG = F-43m, No. 216
1.0
1.972 -5.349 1.842
-0.933 -1.753 5.652
-3.904 -4.393 1.168
K Sr Ta
1 1 4
direct
0.750 0.750 0.750
0.000 0.000 0.000
0.365 0.365 0.905
0.905 0.365 0.365
0.365 0.905 0.365
0.365 0.365 0.365


[10]
PBE-GGA NaScF4, relaxed; E_form (uncorrected) = -3.587 eV per atom; SG = P2_1/c, No. 14
1.0
5.500 0.000 0.000
0.000 8.128 -1.364
0.000 -0.228 7.851
F Sc Na
16 4 4
direct
0.035 0.689 0.617
0.050 0.379 0.811
0.058 0.959 0.296
0.131 0.176 0.055
0.465 0.689 0.117
0.558 0.041 0.204
0.442 0.959 0.796
0.950 0.621 0.189
0.369 0.176 0.555
0.942 0.041 0.704
0.535 0.311 0.883
0.631 0.824 0.445
0.450 0.379 0.311
0.550 0.621 0.689
0.965 0.311 0.383
0.869 0.824 0.945
0.746 0.825 0.694
0.754 0.825 0.194
0.246 0.175 0.806
0.254 0.175 0.306
0.774 0.367 0.124
0.274 0.633 0.376
0.226 0.633 0.876
0.726 0.367 0.624


[11]
PBE-GGA Dy3Er2S6, relaxed; E_form (uncorrected) = -2.066 eV per atom; SG = C2/m, No. 12
1.0
-6.221 -2.593 0.182
-2.782 -2.482 -5.594
0.342 -6.544 1.384
Er S Dy
2 6 3
direct
0.834 0.331 0.500
0.166 0.669 0.500
0.417 0.665 0.748
0.583 0.335 0.252
0.083 0.335 0.748
0.248 0.000 0.257
0.752 0.000 0.743
0.917 0.665 0.252
0.337 0.325 0.000
0.663 0.675 0.000
0.000 0.000 0.000


[12]
PBE-GGA MgAsIr2, relaxed; formation energy from the elements = -59 meV/atom; excess energy over the best structure of this formula in the dataset = 129 meV per atom; SG = P4mm, No. 99
1.0
2.947 0.001 0.000
-0.002 2.947 0.000
0.000 0.000 7.682
As Ir Mg
1 2 1
direct
0.500 0.500 0.799
0.000 0.000 0.995
0.500 0.500 0.242
0.000 0.000 0.465


| no. | VASP energy (hartree per atom) | ρ (g cm⁻³) |
| --- | --- | --- |
| 1 | -0.1092 | 6.9 |
| 2 | -0.2899 | 11.6 |
| 3 | -0.0680 | 3.1 |
| 4 | -0.1419 | 9.6 |
| 5 | -0.1172 | 4.5 |
| 6 | -0.1478 | 7.9 |
| 7 | -0.2178 | 10.7 |
| 8 | -0.1100 | 3.1 |
| 9 | -0.2678 | 9.3 |
| 10 | -0.2245 | 2.7 |
| 11 | -0.2353 | 6.8 |
| 12 | -0.2224 | 12.0 |